Material: TbSmTm2Sc
Method: DFT, PBE-GGA
State: relaxed

Properties
N(E_F)   5.9 states/eV/f.u.
DFT formation energy   332 meV/atom
Volume   320.3 Å³ per cell
Density   7.2 g cm⁻³

```
TbSmTm2Sc
1.0
4.066 -5.584 0.000
4.066 5.584 0.000
0.000 0.000 7.053
Tb Sm Tm Sc
2 2 4 2
Direct
0.231 0.769 0.750
0.769 0.231 0.250
0.230 0.770 0.250
0.770 0.230 0.750
0.196 0.196 0.000
0.196 0.196 0.500
0.804 0.804 0.000
0.804 0.804 0.500
0.498 0.502 0.250
0.502 0.498 0.750
```

---

Material: ZnFe2Mo
Method: DFT, PBE-GGA
State: relaxed

Properties
N(E_F)   2.1 states/eV/f.u.
DFT formation energy   108 meV/atom
Volume   50.4 Å³ per cell
Density   9.0 g cm⁻³

```
ZnFe2Mo
1.0
2.981 0.000 0.000
0.000 2.981 0.000
0.000 0.000 5.677
Zn Fe Mo
1 2 1
Direct
0.000 0.000 0.000
0.500 0.500 0.255
0.500 0.500 0.745
0.000 0.000 0.500
```

---

Material: Sn4Sb2N
Method: DFT, PBE-GGA
State: relaxed

Properties
N(E_F)   2.3 states/eV/f.u.
Volume   183.9 Å³ per cell
Density   6.6 g cm⁻³
Raw formation energy   1.920 eV/f.u.

```
Sn4Sb2N
1.0
-2.379 2.379 8.126
2.379 -2.379 8.126
2.379 2.379 -8.126
Sn Sb N
4 2 1
Direct
0.000 0.500 0.500
0.157 0.157 0.000
0.500 0.000 0.500
0.843 0.843 0.000
0.359 0.359 0.000
0.641 0.641 0.000
0.000 0.000 0.000
```

---

Material: SmY12Ho6
Method: DFT, PBE-GGA
State: relaxed

Properties
N(E_F)   34.1 states/eV/f.u.
DFT formation energy   152 meV/atom
Volume   623.3 Å³ per cell
Density   5.9 g cm⁻³
Relative energy among the computed polymorphs   128 meV per atom

```
SmY12Ho6
1.0
5.937 3.428 5.104
-5.937 3.428 5.104
0.000 -6.856 5.104
Sm Y Ho
1 12 6
Direct
0.000 0.000 0.000
0.010 0.204 0.359
0.204 0.359 0.010
0.224 0.457 0.564
0.359 0.010 0.204
0.436 0.776 0.543
0.457 0.564 0.224
0.543 0.436 0.776
0.564 0.224 0.457
0.641 0.990 0.796
0.776 0.543 0.436
0.796 0.641 0.990
0.990 0.796 0.641
0.093 0.692 0.256
0.256 0.093 0.692
0.308 0.744 0.907
0.692 0.256 0.093
0.744 0.907 0.308
0.907 0.308 0.744
```

---

Material: PmSmTlAu
Method: DFT, PBE-GGA
State: relaxed

Properties
N(E_F)   3.0 states/eV/f.u.
DFT formation energy   -582 meV/atom
Volume   108.3 Å³ per cell
Density   10.7 g cm⁻³
Relative energy among the computed polymorphs   0 meV per atom

```
PmSmTlAu
1.0
3.700 0.000 0.000
0.000 3.700 0.000
0.000 0.000 7.912
Pm Sm Tl Au
1 1 1 1
Direct
0.000 0.000 0.000
0.000 0.000 0.541
0.500 0.500 0.271
0.500 0.500 0.765
```

---

Material: AlTlTe2
Method: DFT, PBE-GGA
State: relaxed

Properties
Volume   147.2 Å³ per cell
Density   5.5 g cm⁻³
Raw formation energy   -0.754 eV/f.u.

```
AlTlTe2
1.0
7.797 -1.955 0.000
7.797 1.955 0.000
-0.710 0.000 4.827
Al Tl Te
1 1 2
Direct
0.000 0.000 0.000
0.771 0.771 0.501
0.382 0.382 0.061
0.612 0.612 0.927
```

---

Material: CaMnSi2Ru
Method: DFT, PBE-GGA
State: relaxed

Properties
N(E_F)   2.5 states/eV/f.u.
Volume   83.7 Å³ per cell
Density   5.0 g cm⁻³
Raw formation energy   -2.859 eV/f.u.

```
CaMnSi2Ru
1.0
-2.012 2.012 5.165
2.012 -2.012 5.165
2.012 2.012 -5.165
Ca Mn Si Ru
1 1 2 1
Direct
0.000 0.000 0.000
0.250 0.750 0.500
0.376 0.376 0.000
0.624 0.624 0.000
0.750 0.250 0.500
```

---

Material: BaFeMo3
Method: DFT, PBE-GGA
State: relaxed

Properties
N(E_F)   5.7 states/eV/f.u.
DFT formation energy   1249 meV/atom
Volume   105.0 Å³ per cell
Density   7.6 g cm⁻³

```
BaFeMo3
1.0
4.718 0.000 0.000
0.000 4.718 0.000
0.000 0.000 4.718
Ba Fe Mo
1 1 3
Direct
0.000 0.000 0.000
0.500 0.500 0.500
0.000 0.500 0.500
0.500 0.000 0.500
0.500 0.500 0.000
```

---

Material: Sc4TeRu
Method: DFT, PBE-GGA
State: relaxed

Properties
N(E_F)   5.4 states/eV/f.u.
Volume   264.3 Å³ per cell
Density   5.1 g cm⁻³
Relative energy among the computed polymorphs   0 meV per atom
Raw formation energy   -3.490 eV/f.u.

```
Sc4TeRu
1.0
5.605 0.000 0.000
0.000 5.960 0.000
-2.537 0.000 7.914
Sc Te Ru
8 2 2
Direct
0.151 0.250 0.059
0.268 0.503 0.755
0.268 0.997 0.755
0.272 0.750 0.321
0.728 0.250 0.679
0.732 0.003 0.245
0.732 0.497 0.245
0.849 0.750 0.941
0.219 0.250 0.428
0.781 0.750 0.572
0.380 0.750 0.038
0.620 0.250 0.962
```

---

Material: HfAl10Re2
Method: DFT, PBE-GGA
State: relaxed

Properties
N(E_F)   6.4 states/eV/f.u.
DFT formation energy   -269 meV/atom
Volume   424.0 Å³ per cell
Density   6.4 g cm⁻³

```
HfAl10Re2
1.0
4.555 -5.126 0.000
4.555 5.126 0.000
0.000 0.000 9.081
Hf Al Re
2 20 4
Direct
0.138 0.862 0.750
0.862 0.138 0.250
0.141 0.859 0.095
0.141 0.859 0.405
0.152 0.419 0.750
0.206 0.469 0.250
0.227 0.227 0.000
0.227 0.227 0.500
0.373 0.627 0.536
0.373 0.627 0.964
0.419 0.152 0.250
0.469 0.206 0.750
0.531 0.794 0.250
0.581 0.848 0.750
0.627 0.373 0.036
0.627 0.373 0.464
0.773 0.773 0.000
0.773 0.773 0.500
0.794 0.531 0.750
0.848 0.581 0.250
0.859 0.141 0.595
0.859 0.141 0.905
0.000 0.500 0.000
0.000 0.500 0.500
0.500 0.000 0.000
0.500 0.000 0.500
```

---

Material: SbAsO6
Method: DFT, PBE-GGA
State: relaxed

Properties
N(E_F)   1.4 states/eV/f.u.
Volume   93.7 Å³ per cell
Density   5.2 g cm⁻³
Raw formation energy   -5.471 eV/f.u.

```
SbAsO6
1.0
4.212 -2.730 0.000
4.212 2.730 0.000
-2.943 0.000 4.075
Sb As O
1 1 6
Direct
0.000 0.000 0.000
0.500 0.500 0.500
0.172 0.656 0.652
0.266 0.266 0.102
0.344 0.828 0.348
0.656 0.172 0.652
0.734 0.734 0.898
0.828 0.344 0.348
```

---

Material: NaCaSc2Sn
Method: DFT, PBE-GGA
State: relaxed

Properties
N(E_F)   6.6 states/eV/f.u.
DFT formation energy   547 meV/atom
Volume   146.4 Å³ per cell
Density   3.1 g cm⁻³

```
NaCaSc2Sn
1.0
5.242 0.000 0.000
0.000 5.242 0.000
0.000 0.000 5.327
Na Ca Sc Sn
1 1 2 1
Direct
0.000 0.000 0.000
0.500 0.500 0.500
0.000 0.500 0.000
0.500 0.000 0.000
0.000 0.000 0.500
```